# Dy6Y2In

A relaxed structure of Dy6Y2In (PBE-GGA, Alexandria via LeMat-Bulk).

```
9
Lattice="8.6659 -4.6919 0.0000 8.6659 4.6919 0.0000 -0.0064 0.0000 3.5152" Properties=species:S:1:pos:R:3 pbc="T T T"
Dy 5.8458 1.6413 1.7603
Dy 8.6659 2.8359 0.0000
Dy 11.4796 1.6413 1.7549
Dy 5.8458 -1.6413 1.7603
Dy 8.6659 -2.8359 0.0000
Dy 11.4796 -1.6413 1.7549
Y 3.1195 0.0000 3.5111
Y 14.2059 0.0000 0.0041
In 8.6627 0.0000 1.7576
```

Properties
formation energy: 0.234 eV/f.u.
magnetization: 0.00 Bohr magnetons per cell